## Re2PtRh6 (GGA-PBE)

Data for a relaxed structure of Re2PtRh6. Values from VASP.

Quantum ESPRESSO input file:
```
&SYSTEM
  ibrav = 0, nat = 9, ntyp = 3
/
ATOMIC_SPECIES
Re 186.21 Re.upf
Pt 195.08 Pt.upf
Rh 102.91 Rh.upf
ATOMIC_POSITIONS crystal
Re 0.165 0.388 0.341
Re 0.835 0.612 0.659
Pt 0.500 0.500 0.000
Rh 0.162 0.175 0.000
Rh 0.168 0.944 0.662
Rh 0.499 0.279 0.662
Rh 0.501 0.721 0.338
Rh 0.832 0.056 0.338
Rh 0.838 0.825 0.000
CELL_PARAMETERS angstrom
4.750 0.000 0.000
2.367 4.120 0.000
0.778 1.418 6.639
```

Results
Energy above the most stable polymorph in this dataset in eV per atom: 0.000
E_form in meV per atom: -102
Space-group type: P-1, No. 2
Raw total energy in eV per atom: -8.441